No. 1
# YTcCl2

A geometry-optimized YTcCl2 structure (PBE, Alexandria).

Results
Energy above the most stable polymorph in this dataset   0.7789 eV/atom
Space group   No. 216
Total magnetization   2.125 μB per formula unit
Formation energy without anion corrections   11.6 kJ/mol of atoms
E_tot   -5.010 eV per atom

Geometry as extended XYZ:
```
4
Lattice="0.000 3.451 3.451 3.451 0.000 3.451 3.451 3.451 0.000" Properties=species:S:1:pos:R:3 pbc="T T T"
Y 0.000 0.000 0.000
Tc 1.725 1.725 1.725
Cl 3.451 3.451 3.451
Cl 5.176 5.176 5.176
```

No. 2
# YTc2Cl

A geometry-optimized YTc2Cl structure (PBE, Alexandria).

Results
Energy above the most stable polymorph in this dataset   0.7752 eV/atom
Space group   No. 65
Total magnetization   0.001 μB per formula unit
Formation energy without anion corrections   46.7 kJ/mol of atoms
E_tot   -6.777 eV per atom

Geometry as extended XYZ:
```
4
Lattice="2.508 -4.928 0.000 2.508 4.928 0.000 0.000 0.000 3.055" Properties=species:S:1:pos:R:3 pbc="T T T"
Y 0.000 0.000 0.000
Tc 1.254 2.464 1.528
Tc 1.254 -2.464 1.528
Cl 2.508 0.000 0.000
```

No. 3
# Y2TcCl

A geometry-optimized Y2TcCl structure (PBE, Alexandria).

Results
Energy above the most stable polymorph in this dataset   0.0287 eV/atom
Space group   No. 12
Total magnetization   0.000 μB per formula unit
Formation energy without anion corrections   -69.1 kJ/mol of atoms
E_tot   -7.001 eV per atom

Geometry as extended XYZ:
```
4
Lattice="2.652 -2.253 0.000 2.652 2.253 0.000 -1.958 0.000 7.968" Properties=species:S:1:pos:R:3 pbc="T T T"
Y 0.004 0.000 1.660
Y 3.341 0.000 6.308
Tc 2.652 0.000 0.000
Cl 1.673 0.000 3.984
```

No. 4
# YTc2Cl

A geometry-optimized YTc2Cl structure (PBE, Alexandria).

Results
Energy above the most stable polymorph in this dataset   0.9997 eV/atom
Space group   No. 123
Total magnetization   2.725 μB per formula unit
Formation energy without anion corrections   68.3 kJ/mol of atoms
E_tot   -6.552 eV per atom

Geometry as extended XYZ:
```
4
Lattice="3.024 0.000 0.000 0.000 3.024 0.000 0.000 0.000 7.950" Properties=species:S:1:pos:R:3 pbc="T T T"
Y 0.000 0.000 0.000
Tc 1.512 1.512 2.284
Tc 1.512 1.512 5.666
Cl 0.000 0.000 3.975
```

No. 5
# YTc2Cl

A geometry-optimized YTc2Cl structure (PBE, Alexandria).

Results
Energy above the most stable polymorph in this dataset   0.0000 eV/atom
Space group   No. 38
Total magnetization   0.000 μB per formula unit
Formation energy without anion corrections   -28.1 kJ/mol of atoms
E_tot   -7.552 eV per atom

Geometry as extended XYZ:
```
4
Lattice="3.136 0.000 0.000 0.000 1.579 7.688 0.000 -1.579 7.688" Properties=species:S:1:pos:R:3 pbc="T T T"
Y 0.000 0.000 0.000
Tc 0.000 0.000 3.378
Tc 1.568 0.000 9.779
Cl 1.568 0.000 5.788
```

No. 6
# YTcCl3

A geometry-optimized YTcCl3 structure (PBE, Alexandria).

Results
Energy above the most stable polymorph in this dataset   0.0000 eV/atom
Space group   No. 221
Total magnetization   5.000 μB per formula unit
Formation energy without anion corrections   -44.0 kJ/mol of atoms
E_tot   -4.930 eV per atom

Geometry as extended XYZ:
```
5
Lattice="5.329 0.000 0.000 0.000 5.329 0.000 0.000 0.000 5.329" Properties=species:S:1:pos:R:3 pbc="T T T"
Y 0.000 0.000 0.000
Tc 2.665 2.665 2.665
Cl 0.000 0.000 2.665
Cl 0.000 2.665 0.000
Cl 2.665 0.000 0.000
```

No. 7
# YTc2Cl

A geometry-optimized YTc2Cl structure (PBE, Alexandria).

Results
Energy above the most stable polymorph in this dataset   0.3339 eV/atom
Space group   No. 71
Total magnetization   0.000 μB per formula unit
Formation energy without anion corrections   4.1 kJ/mol of atoms
E_tot   -7.218 eV per atom

Geometry as extended XYZ:
```
4
Lattice="-1.717 1.923 5.771 1.717 -1.923 5.771 1.717 1.923 -5.771" Properties=species:S:1:pos:R:3 pbc="T T T"
Y 0.000 0.000 0.000
Tc 1.717 0.000 2.860
Tc 0.000 1.923 2.910
Cl 0.000 0.000 5.771
```

No. 8
# Y2TcCl

A geometry-optimized Y2TcCl structure (PBE, Alexandria).

Results
Energy above the most stable polymorph in this dataset   0.2384 eV/atom
Space group   No. 44
Total magnetization   0.001 μB per formula unit
Formation energy without anion corrections   -48.8 kJ/mol of atoms
E_tot   -6.791 eV per atom

Geometry as extended XYZ:
```
4
Lattice="-1.732 1.831 7.709 1.732 -1.831 7.709 1.732 1.831 -7.709" Properties=species:S:1:pos:R:3 pbc="T T T"
Y 0.000 0.000 0.000
Y 0.000 1.831 4.386
Tc 0.000 0.000 6.362
Cl 1.732 0.000 2.510
```

No. 9
# YTcCl2

A geometry-optimized YTcCl2 structure (PBE, Alexandria).

Results
Energy above the most stable polymorph in this dataset   0.5590 eV/atom
Space group   No. 65
Total magnetization   3.543 μB per formula unit
Formation energy without anion corrections   -9.6 kJ/mol of atoms
E_tot   -5.230 eV per atom

Geometry as extended XYZ:
```
4
Lattice="1.640 -3.079 0.000 1.640 3.079 0.000 0.000 0.000 8.934" Properties=species:S:1:pos:R:3 pbc="T T T"
Y 0.000 0.000 0.000
Tc 0.000 0.000 4.467
Cl 1.640 0.000 2.233
Cl 1.640 0.000 6.701
```

No. 10
# YTcCl2

A geometry-optimized YTcCl2 structure (PBE, Alexandria).

Results
Energy above the most stable polymorph in this dataset   0.4763 eV/atom
Space group   No. 123
Total magnetization   2.659 μB per formula unit
Formation energy without anion corrections   -17.6 kJ/mol of atoms
E_tot   -5.313 eV per atom

Geometry as extended XYZ:
```
4
Lattice="4.435 0.000 0.000 0.000 4.435 0.000 0.000 0.000 3.982" Properties=species:S:1:pos:R:3 pbc="T T T"
Y 0.000 0.000 0.000
Tc 2.218 2.218 0.000
Cl 0.000 2.218 1.991
Cl 2.218 0.000 1.991
```

No. 11
# YTc2Cl

A geometry-optimized YTc2Cl structure (PBE, Alexandria).

Results
Energy above the most stable polymorph in this dataset   0.9544 eV/atom
Space group   No. 65
Total magnetization   0.001 μB per formula unit
Formation energy without anion corrections   64.0 kJ/mol of atoms
E_tot   -6.598 eV per atom

Geometry as extended XYZ:
```
4
Lattice="1.608 -2.543 0.000 1.608 2.543 0.000 0.000 0.000 8.801" Properties=species:S:1:pos:R:3 pbc="T T T"
Y 0.000 0.000 0.000
Tc 1.608 0.000 2.347
Tc 1.608 0.000 6.454
Cl 0.000 0.000 4.401
```

No. 12
# YTc2Cl

A geometry-optimized YTc2Cl structure (PBE, Alexandria).

Results
Energy above the most stable polymorph in this dataset   0.7758 eV/atom
Space group   No. 216
Total magnetization   0.000 μB per formula unit
Formation energy without anion corrections   46.7 kJ/mol of atoms
E_tot   -6.776 eV per atom

Geometry as extended XYZ:
```
4
Lattice="0.000 3.299 3.299 3.299 0.000 3.299 3.299 3.299 0.000" Properties=species:S:1:pos:R:3 pbc="T T T"
Y 0.000 0.000 0.000
Tc 3.299 3.299 3.299
Tc 4.948 4.948 4.948
Cl 1.649 1.649 1.649
```